Material: GdYHg2
Method: DFT, GGA-PBE
State: optimized geometry

Lattice parameters (Å, degrees): 7.4764 7.4764 7.4764 90.00 90.00 90.00
With the nearest neighbours (Å) after each atom.
Space group Fm-3m (No. 225)
Asymmetric unit:
Gd (0.0000, 0.0000, 0.0000) x4  8 Hg 3.24
Y (0.0000, 0.0000, 0.5000) x4  8 Hg 3.24
Hg (0.2500, 0.2500, 0.2500) x8  4 Gd 3.24, 4 Y 3.24

Values from the calculation:
E_form: -0.51 eV/atom
N(E_F): 4.914 states/eV/f.u.
Relative energy among the computed polymorphs: 0.01 eV/f.u.



Material: BaBe2Br
Method: DFT, GGA-PBE
State: optimized geometry

Lattice parameters (Å, degrees): 4.4216 4.4216 5.6139 90.00 90.00 90.00
With the nearest neighbours (Å) after each atom.
Space group P4/mmm (No. 123)
Asymmetric unit:
Ba (0.0000, 0.0000, 0.0000) x1  4 Br 3.13
Be (0.0000, 0.5000, 0.5000) x2  4 Be 3.13
Br (0.5000, 0.5000, 0.0000) x1  4 Ba 3.13

Values from the calculation:
N(E_F): 1.557 states/eV/f.u.
Formation energy from raw total energies: 406 meV per atom
Relative energy among the computed polymorphs: 1.58 eV/f.u.